A relaxed structure of NaNd2CoO6, computed with PBE with a Hubbard U.

Calculated values
SG: P2_1/c, No. 14
Magnetic moment, μB/atom: 0.21
Raw total energy, eV/cell: -134.0

Lattice parameters (Å, degrees): 5.460 5.896 7.735 90.00 89.31 90.00
Site moments in Bohr magnetons follow the coordinates.
Fractional positions:
Co 0.500 0.000 0.500  1.70
O 0.283 0.673 0.047  0.02
Nd 0.979 0.073 0.748  0.01
O 0.602 0.037 0.276  0.10
O 0.398 0.963 0.724  0.10
O 0.102 0.463 0.776  0.10
Nd 0.521 0.573 0.752  0.01
Nd 0.479 0.427 0.248  0.01
O 0.217 0.173 0.453  0.02
O 0.783 0.827 0.547  0.02
Na 0.500 0.000 0.000  0.00
O 0.832 0.776 0.939  0.01
Co 0.000 0.500 0.000  1.70
O 0.668 0.276 0.561  0.01
O 0.717 0.327 0.953  0.02
Nd 0.021 0.927 0.252  0.01
O 0.332 0.724 0.439  0.01
O 0.898 0.537 0.224  0.10
O 0.168 0.224 0.061  0.01
Na 0.000 0.500 0.500  0.00